(1)
Density functional theory data (GGA-PBE) for a relaxed structure of BaYV2.

Computed properties:
- Formation enthalpy at 0 K: 1.213 eV/atom
- Total magnetization: 14.1 Bohr magnetons per cell
- Electronic total energy: -5.443 eV per atom
- Fermi-level density of states: 1.63 states/eV per atom
- Symmetry: No. 122
- Energy relative to the lowest polymorph listed for this composition: 28.44 kJ per mole of atoms

a = 6.7774 Å, b = 6.7774 Å, c = 6.7774 Å
α = 103.11°, β = 103.11°, γ = 123.13°
Closest atoms and distances in Å follow each position.
Fractional positions:
Ba 0.0000 0.0000 0.0000  4 V 3.18, 2 Y 3.23
Ba 0.7500 0.2500 0.5000  4 V 3.18, 2 Y 3.23
Y 0.2500 0.7500 0.5000  4 V 3.00, 2 Ba 3.23
Y 0.5000 0.5000 0.0000  4 V 3.00, 2 Ba 3.23
V 0.1410 0.1250 0.5160  2 Y 3.00, 2 Ba 3.18, 2 V 3.24
V 0.3750 0.8590 0.9840  2 Y 3.00, 2 Ba 3.18, 2 V 3.24
V 0.6090 0.6250 0.4840  2 Y 3.00, 2 Ba 3.18, 2 V 3.24
V 0.8750 0.3910 0.0160  2 Y 3.00, 2 Ba 3.18, 2 V 3.24

---

(2)
Density functional theory data (GGA-PBE) for a relaxed structure of AgSnMoRh2.

Computed properties:
- Formation enthalpy at 0 K: 1.617 eV/atom
- Total magnetization: 0.0 Bohr magnetons per cell
- Electronic total energy: -4.861 eV per atom
- Fermi-level density of states: 1.67 states/eV per atom
- Symmetry: No. 123

a = 4.7894 Å, b = 4.7894 Å, c = 4.8915 Å
α = 90.00°, β = 90.00°, γ = 90.00°
Closest atoms and distances in Å follow each position.
Fractional positions:
Ag 0.0000 0.0000 0.0000  2 Sn 2.45
Sn 0.0000 0.0000 0.5000  4 Rh 2.39, 2 Ag 2.45
Mo 0.5000 0.5000 0.0000  4 Ag 3.39, 8 Rh 3.42
Rh 0.0000 0.5000 0.5000  2 Sn 2.39
Rh 0.5000 0.0000 0.5000  2 Sn 2.39

---

(3)
Density functional theory data (GGA-PBE) for a relaxed structure of MnAs2W.

Computed properties:
- Formation enthalpy at 0 K: 0.406 eV/atom
- Total magnetization: 3.2 Bohr magnetons per cell
- Electronic total energy: -7.449 eV per atom
- Fermi-level density of states: 0.73 states/eV per atom
- Symmetry: No. 47
- Energy relative to the lowest polymorph listed for this composition: 38.11 kJ per mole of atoms

a = 3.3192 Å, b = 3.9360 Å, c = 4.8989 Å
α = 90.00°, β = 90.00°, γ = 90.00°
Closest atoms and distances in Å follow each position.
Fractional positions:
Mn 0.0000 0.0000 0.0000  4 As 2.57
As 0.0000 0.5000 0.5000  4 W 2.57
As 0.5000 0.5000 0.0000  4 Mn 2.57
W 0.5000 0.0000 0.5000  4 As 2.57